# PBE CeFe2Si2Ge, optimized geometry
# V = 101.8 Å³ per cell
# D(E_F) = 7.61 states/eV per cell
# Formation energy without anion corrections = -0.10 eV/atom
# E_tot = -6.48 eV/atom
data_CeFe2Si2Ge
_symmetry_space_group_name_H-M 'P 4/m m m'
_symmetry_Int_Tables_number 123
_symmetry_space_group_name_Hall '-P 4 2'
_cell_length_a 4.321
_cell_length_b 4.321
_cell_length_c 5.451
_cell_angle_alpha 90.00
_cell_angle_beta 90.00
_cell_angle_gamma 90.00
loop_
_atom_site_label
_atom_site_type_symbol
_atom_site_fract_x
_atom_site_fract_y
_atom_site_fract_z
Ce1 Ce 0.000 0.000 0.000
Fe1 Fe 0.000 0.500 0.500
Si1 Si 0.500 0.500 0.244
Ge1 Ge 0.000 0.000 0.500

***

# PBE CeFe2SiGe2, optimized geometry
# V = 102.3 Å³ per cell
# D(E_F) = 6.33 states/eV per cell
# Formation energy without anion corrections = -0.24 eV/atom
# E_tot = -6.49 eV/atom
data_CeFe2SiGe2
_symmetry_space_group_name_H-M 'P 4/m m m'
_symmetry_Int_Tables_number 123
_symmetry_space_group_name_Hall '-P 4 2'
_cell_length_a 4.282
_cell_length_b 4.282
_cell_length_c 5.582
_cell_angle_alpha 90.00
_cell_angle_beta 90.00
_cell_angle_gamma 90.00
loop_
_atom_site_label
_atom_site_type_symbol
_atom_site_fract_x
_atom_site_fract_y
_atom_site_fract_z
Ce1 Ce 0.000 0.000 0.000
Fe1 Fe 0.000 0.500 0.500
Si1 Si 0.000 0.000 0.500
Ge1 Ge 0.500 0.500 0.238

***

# PBE CeFeTcGe3, optimized geometry
# V = 473.9 Å³ per cell
# Energy relative to the elements = -193.8 meV/atom
# D(E_F) = 29.14 states/eV per cell
# E_tot = -6.63 eV/atom
data_CeFeTcGe3
_symmetry_space_group_name_H-M 'C m c m'
_symmetry_Int_Tables_number 63
_symmetry_space_group_name_Hall '-C 2c 2'
_cell_length_a 7.595
_cell_length_b 10.795
_cell_length_c 5.780
_cell_angle_alpha 90.00
_cell_angle_beta 90.00
_cell_angle_gamma 90.00
loop_
_atom_site_label
_atom_site_type_symbol
_atom_site_fract_x
_atom_site_fract_y
_atom_site_fract_z
Ce1 Ce 0.000 0.239 0.250
Fe1 Fe 0.000 0.032 0.750
Tc1 Tc 0.000 0.452 0.750
Ge1 Ge 0.000 0.237 0.750
Ge2 Ge 0.242 0.000 0.000